1.
Tm3Nb: relaxed, PBE.

Output
Total magnetic moment ... 0.0 Bohr magnetons per cell
Energy ... -45.29 eV for the cell shown
Fermi-level density of states ... 1.22 states/eV/atom
Symmetry ... Imm2, No. 44
ΔE_f ... 0.21 eV/atom

Unit cell a=3.357 b=10.624 c=5.862 alpha=90.00 beta=90.00 gamma=90.00
Element x y z (fractional)
Tm  0.000  0.000  0.000
Tm  0.000  0.236  0.641
Tm  0.000  0.764  0.641
Tm  0.500  0.264  0.141
Tm  0.500  0.500  0.500
Tm  0.500  0.736  0.141
Nb  0.000  0.500  0.971
Nb  0.500  0.000  0.471

2.
TmNbV: relaxed, PBE.

Output
Total magnetic moment ... 0.0 Bohr magnetons per cell
Energy ... -66.95 eV for the cell shown
Fermi-level density of states ... 1.46 states/eV/atom
Symmetry ... R3m, No. 160
ΔE_f ... 0.45 eV/atom

Unit cell a=3.239 b=3.239 c=20.302 alpha=90.00 beta=90.00 gamma=120.00
Element x y z (fractional)
Tm  0.000  0.000  0.000
Tm  0.333  0.667  0.667
Tm  0.667  0.333  0.333
Nb  0.000  0.000  0.796
Nb  0.333  0.667  0.462
Nb  0.667  0.333  0.129
V  0.000  0.000  0.215
V  0.333  0.667  0.882
V  0.667  0.333  0.548

3.
TmNb2V: relaxed, PBE.

Output
Total magnetic moment ... 0.0 Bohr magnetons per cell
Energy ... -95.00 eV for the cell shown
Fermi-level density of states ... 1.32 states/eV/atom
Symmetry ... R-3m, No. 166
ΔE_f ... 0.52 eV/atom

Unit cell a=3.078 b=3.078 c=29.475 alpha=90.00 beta=90.00 gamma=120.00
Element x y z (fractional)
Tm  0.000  0.000  0.000
Tm  0.333  0.667  0.667
Tm  0.667  0.333  0.333
Nb  0.000  0.000  0.100
Nb  0.000  0.000  0.900
Nb  0.333  0.667  0.566
Nb  0.333  0.667  0.767
Nb  0.667  0.333  0.233
Nb  0.667  0.333  0.434
V  0.000  0.000  0.500
V  0.333  0.667  0.167
V  0.667  0.333  0.833

Repeat the second record exactly.
TmNbV: relaxed, PBE.

Output
Total magnetic moment ... 0.0 Bohr magnetons per cell
Energy ... -66.95 eV for the cell shown
Fermi-level density of states ... 1.46 states/eV/atom
Symmetry ... R3m, No. 160
ΔE_f ... 0.45 eV/atom

Unit cell a=3.239 b=3.239 c=20.302 alpha=90.00 beta=90.00 gamma=120.00
Element x y z (fractional)
Tm  0.000  0.000  0.000
Tm  0.333  0.667  0.667
Tm  0.667  0.333  0.333
Nb  0.000  0.000  0.796
Nb  0.333  0.667  0.462
Nb  0.667  0.333  0.129
V  0.000  0.000  0.215
V  0.333  0.667  0.882
V  0.667  0.333  0.548

Question: energy of number 2 (TmNbV)?
Answer: -66.95 eV for the cell shown